# MnOsAu2 | the Alexandria database | PBE-GGA | optimized geometry
# Size of the total moment ... 3.27 μB per formula unit
# DFT total energy ... -6.508 eV per atom
# Energy relative to the elements ... 0.231 eV per atom
# Excess energy over the best structure of this formula in the dataset ... 0.03 eV per formula unit
# Crystal system ... trigonal
data_MnOsAu2
_cell_length_a 2.8594
_cell_length_b 2.8594
_cell_length_c 27.2110
_cell_angle_alpha 90.00
_cell_angle_beta 90.00
_cell_angle_gamma 120.00
_symmetry_space_group_name_H-M 'R 3 m'
_symmetry_Int_Tables_number 160
_symmetry_space_group_name_Hall 'R 3 -2"'
loop_
_atom_site_label
_atom_site_type_symbol
_atom_site_fract_x
_atom_site_fract_y
_atom_site_fract_z
Mn1 Mn 0.0000 0.0000 0.0000
Os1 Os 0.0000 0.0000 0.7372
Au1 Au 0.0000 0.0000 0.2524
Au2 Au 0.0000 0.0000 0.4931